Here is PaFe2O5 after structural relaxation from Alexandria. Energies are from PBE with a Hubbard U.

Results
V   228.8 Å³ per cell
E   -7.958 eV/atom
Total moment   9.00 μB/f.u.

```
16
Lattice="-0.639 -0.322 4.063 4.609 -2.648 -1.579 5.718 8.990 1.612" Properties=species:S:1:pos:R:3 pbc="T T T"
Pa 6.642 4.830 3.523
Pa 3.045 1.189 0.573
Fe 5.325 1.850 3.079
Fe 3.058 -1.714 2.440
Fe 4.362 4.169 1.017
Fe 6.629 7.734 1.656
O 8.690 5.206 3.875
O 7.148 2.782 3.440
O 5.048 2.131 0.963
O 3.024 -1.051 0.393
O 3.353 0.617 2.671
O 6.334 5.402 1.425
O 4.639 3.888 3.133
O 6.663 7.070 3.703
O 0.998 0.814 0.221
O 2.539 3.237 0.656
```